No. 1
! Ag2SbW PBE relaxed; values from VASP
! E_tot = -0.1820 Ha/atom
&SYSTEM
  ibrav = 0, nat = 4, ntyp = 3
/
ATOMIC_SPECIES
Sb 121.76 Sb.upf
Ag 107.87 Ag.upf
W 183.84 W.upf
ATOMIC_POSITIONS crystal
Sb 0.2500 0.7500 0.5000
Ag 0.0000 0.0001 0.0001
Ag 0.5000 0.4999 0.9999
W 0.7500 0.2500 0.5000
CELL_PARAMETERS angstrom
-0.2123 2.7673 4.8612
-0.9904 -2.7601 4.7757
3.3432 -0.3960 -4.4723

No. 2
! AgSb2W PBE relaxed; values from VASP
! E_tot = -0.2018 Ha/atom
&SYSTEM
  ibrav = 0, nat = 4, ntyp = 3
/
ATOMIC_SPECIES
Sb 121.76 Sb.upf
Ag 107.87 Ag.upf
W 183.84 W.upf
ATOMIC_POSITIONS crystal
Sb 0.0000 0.2288 0.9088
Sb 0.5000 0.0254 0.3324
Ag 0.5000 0.8235 0.7258
W 0.0000 0.4222 0.5330
CELL_PARAMETERS angstrom
-0.3607 -3.8839 1.5626
0.9104 -1.1272 -2.5917
7.5955 -0.2818 1.0532

No. 3
! ZrAg2SbW PBE relaxed; values from VASP
! E_tot = -0.1873 Ha/atom
&SYSTEM
  ibrav = 0, nat = 5, ntyp = 4
/
ATOMIC_SPECIES
Sb 121.76 Sb.upf
Zr 91.22 Zr.upf
Ag 107.87 Ag.upf
W 183.84 W.upf
ATOMIC_POSITIONS crystal
Sb 0.5000 0.5000 0.5000
Zr 0.0000 0.5000 0.0000
Ag 0.0000 0.0000 0.5000
Ag 0.5000 0.0000 0.0000
W 0.0000 0.0000 0.0000
CELL_PARAMETERS angstrom
-0.5201 2.0480 4.6890
-0.1670 -4.5137 1.9530
5.1138 0.0473 0.5465

No. 4
! Zr2AgSbW PBE relaxed; values from VASP
! E_tot = -0.2183 Ha/atom
&SYSTEM
  ibrav = 0, nat = 5, ntyp = 4
/
ATOMIC_SPECIES
Sb 121.76 Sb.upf
Zr 91.22 Zr.upf
Ag 107.87 Ag.upf
W 183.84 W.upf
ATOMIC_POSITIONS crystal
Sb 0.0000 0.0000 0.0000
Zr 0.0000 0.0000 0.5000
Zr 0.5000 0.0000 0.0000
Ag 0.0000 0.5000 0.0000
W 0.5000 0.5000 0.5000
CELL_PARAMETERS angstrom
5.2616 0.0000 0.0000
0.0000 4.7755 0.0000
0.0000 0.0000 5.2616

No. 5
! Y2AgSb PBE relaxed; values from VASP
! E_tot = -0.2038 Ha/atom
&SYSTEM
  ibrav = 0, nat = 4, ntyp = 3
/
ATOMIC_SPECIES
Ag 107.87 Ag.upf
Sb 121.76 Sb.upf
Y 88.91 Y.upf
ATOMIC_POSITIONS crystal
Ag 0.5000 0.5000 0.0000
Sb 0.7500 0.2500 0.5000
Y 0.0000 0.0000 0.0000
Y 0.2500 0.7500 0.5000
CELL_PARAMETERS angstrom
-5.0599 3.2640 -1.6570
-5.2787 -2.9016 -1.6487
4.2311 -0.1439 4.5912

No. 6
! Y3AgSb PBE relaxed; values from VASP
! E_tot = -0.1954 Ha/atom
&SYSTEM
  ibrav = 0, nat = 5, ntyp = 3
/
ATOMIC_SPECIES
Y 88.91 Y.upf
Sb 121.76 Sb.upf
Ag 107.87 Ag.upf
ATOMIC_POSITIONS crystal
Y 0.0000 0.5000 0.0000
Y 0.0000 0.0000 0.5000
Y 0.5000 0.0000 0.0000
Sb 0.5000 0.5000 0.5000
Ag 0.0000 0.0000 0.0000
CELL_PARAMETERS angstrom
5.4682 0.0000 0.0000
0.0000 5.4682 0.0000
0.0000 0.0000 5.4682